No. 1
The following is a DFT calculation (GGA-PBE) of an optimized crystal structure of BeAgBr.

Results
Space-group type   F-43m, No. 216
E_form (uncorrected)   0.70 eV/atom
Polymorph energy (0 for the lowest one)   2.02 eV per formula unit
Crystal system   cubic

a = 4.5654 Å, b = 4.5654 Å, c = 4.5654 Å
α = 60.00°, β = 60.00°, γ = 60.00°
Closest atoms and distances in Å follow each position.
Element x y z (fractional)
Br: 0.5000 0.5000 0.5000  4 Ag 2.80
Ag: 0.7500 0.7500 0.7500  4 Be 2.80, 4 Br 2.80
Be: 0.0000 0.0000 0.0000  4 Ag 2.80

=====

No. 2
The following is a DFT calculation (GGA-PBE) of an optimized crystal structure of Be3AgBr.

Results
Space-group type   Pm-3m, No. 221
E_form (uncorrected)   1.43 eV/atom
Polymorph energy (0 for the lowest one)   2.66 eV per formula unit
Crystal system   cubic

a = 4.4143 Å, b = 4.4143 Å, c = 4.4143 Å
α = 90.00°, β = 90.00°, γ = 90.00°
Closest atoms and distances in Å follow each position.
Element x y z (fractional)
Br: 0.0000 0.0000 0.0000  6 Be 2.21
Be: 0.0000 0.5000 0.0000  2 Br 2.21
Be: 0.0000 0.0000 0.5000  2 Br 2.21
Ag: 0.5000 0.5000 0.5000  12 Be 3.12
Be: 0.5000 0.0000 0.0000  2 Br 2.21

=====

No. 3
The following is a DFT calculation (GGA-PBE) of an optimized crystal structure of BeAg2Br.

Results
Space-group type   Fm-3m, No. 225
E_form (uncorrected)   0.67 eV/atom
Polymorph energy (0 for the lowest one)   2.51 eV per formula unit
Crystal system   cubic

a = 4.8028 Å, b = 4.8028 Å, c = 4.8028 Å
α = 60.00°, β = 60.00°, γ = 60.00°
Closest atoms and distances in Å follow each position.
Element x y z (fractional)
Ag: 0.7500 0.7500 0.7500  4 Br 2.94, 4 Be 2.94
Ag: 0.2500 0.2500 0.2500  4 Br 2.94, 4 Be 2.94
Br: 0.5000 0.5000 0.5000  8 Ag 2.94
Be: 0.0000 0.0000 0.0000  8 Ag 2.94

=====

No. 4
The following is a DFT calculation (GGA-PBE) of an optimized crystal structure of BeAg2Br.

Results
Space-group type   Pm, No. 6
E_form (uncorrected)   0.06 eV/atom
Polymorph energy (0 for the lowest one)   0.08 eV per formula unit
Crystal system   monoclinic

a = 3.2148 Å, b = 3.8492 Å, c = 6.6991 Å
α = 88.12°, β = 90.00°, γ = 90.00°
Closest atoms and distances in Å follow each position.
Element x y z (fractional)
Ag: 0.0000 0.7677 0.0903  1 Be 2.34
Br: 0.5000 0.7313 0.6784  2 Be 2.27
Ag: 0.5000 0.2558 0.2921  4 Be 2.69-2.70, 4 Ag 2.85
Be: 0.0000 0.7452 0.4392  2 Br 2.27, 1 Ag 2.34

=====

No. 5
The following is a DFT calculation (GGA-PBE) of an optimized crystal structure of BeAg2Br.

Results
Space-group type   I-42d, No. 122
E_form (uncorrected)   0.37 eV/atom
Polymorph energy (0 for the lowest one)   1.29 eV per formula unit
Crystal system   tetragonal

a = 4.8357 Å, b = 4.8357 Å, c = 8.4672 Å
α = 73.41°, β = 73.41°, γ = 90.00°
Closest atoms and distances in Å follow each position.
Element x y z (fractional)
Be: 0.5000 0.5000 0.0000  4 Ag 2.40
Ag: 0.3750 0.4698 0.7500  2 Be 2.40
Ag: 0.5302 0.1250 0.2500  2 Be 2.40
Br: 0.0000 0.0000 0.0000  4 Ag 2.83
Ag: 0.8750 0.7802 0.7500  2 Be 2.40
Be: 0.2500 0.7500 0.5000  4 Ag 2.40
Br: 0.7500 0.2500 0.5000  4 Ag 2.83
Ag: 0.2198 0.6250 0.2500  2 Be 2.40

=====

No. 6
The following is a DFT calculation (GGA-PBE) of an optimized crystal structure of BeAg2Br.

Results
Space-group type   Immm, No. 71
E_form (uncorrected)   0.35 eV/atom
Polymorph energy (0 for the lowest one)   1.24 eV per formula unit
Crystal system   orthorhombic

a = 5.4723 Å, b = 5.4723 Å, c = 5.4723 Å
α = 146.62°, β = 109.57°, γ = 80.22°
Closest atoms and distances in Å follow each position.
Element x y z (fractional)
Be: 0.7500 0.2500 0.5000  4 Ag 2.39
Ag: 0.5342 0.5342 0.0000  2 Be 2.39
Ag: 0.9658 0.9658 0.0000  2 Be 2.39
Br: 0.2500 0.7500 0.5000  4 Ag 2.85, 2 Br 3.14

=====

No. 7
The following is a DFT calculation (GGA-PBE) of an optimized crystal structure of BeAg2Br.

Results
Space-group type   P4/mmm, No. 123
E_form (uncorrected)   0.55 eV/atom
Polymorph energy (0 for the lowest one)   2.04 eV per formula unit
Crystal system   tetragonal

a = 4.5267 Å, b = 4.5267 Å, c = 3.6545 Å
α = 90.00°, β = 90.00°, γ = 90.00°
Closest atoms and distances in Å follow each position.
Element x y z (fractional)
Ag: 0.5000 0.5000 0.0000  4 Br 2.91, 4 Be 2.91, 4 Ag 3.20
Br: 0.0000 0.5000 0.5000  8 Ag 2.91, 4 Be 3.20
Be: 0.5000 0.0000 0.5000  8 Ag 2.91, 4 Br 3.20
Ag: 0.0000 0.0000 0.0000  4 Br 2.91, 4 Be 2.91, 4 Ag 3.20

=====

No. 8
The following is a DFT calculation (GGA-PBE) of an optimized crystal structure of BeAgBr.

Results
Space-group type   F-43m, No. 216
E_form (uncorrected)   0.61 eV/atom
Polymorph energy (0 for the lowest one)   1.73 eV per formula unit
Crystal system   cubic

a = 4.4010 Å, b = 4.4010 Å, c = 4.4010 Å
α = 60.00°, β = 60.00°, γ = 60.00°
Closest atoms and distances in Å follow each position.
Element x y z (fractional)
Be: 0.7500 0.7500 0.7500  4 Br 2.70, 4 Ag 2.70
Ag: 0.5000 0.5000 0.5000  4 Be 2.70
Br: 0.0000 0.0000 0.0000  4 Be 2.70

=====

Question: Which of these has the highest E_form (uncorrected)?
Answer: Be3AgBr

=====

Question: polymorph energy (0 for the lowest one) of number 4 (BeAg2Br)?
Answer: 0.08 eV per formula unit